{
  "formula": "CsTm2ReO8",
  "functional": "PBE-GGA",
  "state": "optimized geometry",
  "lattice_angstrom": [[4.931, -0.031, 0.007], [-0.011, 4.931, 0.005], [0.026, 0.028, 7.694]],
  "species": ["Cs", "Tm", "Tm", "Re", "O", "O", "O", "O", "O", "O", "O", "O"],
  "fractional_positions": [[0.000, 0.000, 0.500], [0.499, 0.499, 0.785], [0.501, 0.501, 0.215], [0.000, 0.000, 0.000], [0.187, 0.809, 0.173], [0.716, 0.716, 0.999], [0.809, 0.187, 0.173], [0.813, 0.191, 0.827], [0.284, 0.284, 0.001], [0.191, 0.813, 0.827], [0.609, 0.609, 0.499], [0.391, 0.391, 0.501]],
  "final_energy_ev_per_atom": -7.3827,
  "magnetic_moment_mub_per_cell": 0.00
}